Entry 1:
Material: Si2AgTe
Method: DFT, PBE
State: optimized geometry

Geometry as extended XYZ:
```
4
Lattice="-4.8003 -0.4480 0.3027 -2.8676 3.0842 -2.3663 -2.5313 -1.5076 -3.8282" Properties=species:S:1:pos:R:3 pbc="T T T"
Ag -2.5498 0.2822 -1.4729
Si 0.0000 0.0000 0.0000
Si -7.6494 0.8465 -4.4188
Te -5.0996 0.5643 -2.9459
```

Values from the calculation:
E_tot = -14.4 eV/cell

=====

Entry 2:
Material: TmSbPd
Method: DFT, PBE
State: optimized geometry

Geometry as extended XYZ:
```
9
Lattice="-2.4118 1.2398 6.7765 2.4256 -6.6296 -1.8547 3.8875 1.0911 1.1839" Properties=species:S:1:pos:R:3 pbc="T T T"
Pd -0.6324 0.3251 1.7768
Pd 0.6360 -1.7383 -0.4863
Pd 0.0102 -3.9766 3.6314
Sb -0.7993 -1.3833 3.8995
Sb 0.8131 -4.0065 1.0224
Sb 1.9437 0.5456 0.5920
Tm 0.5276 1.2736 4.5711
Tm 1.9494 -1.6794 2.6237
Tm 3.3680 -3.3473 -0.4971
```

Values from the calculation:
M_tot = 0.0000 μB/atom
E_tot = -50.2 eV/cell

=====

Entry 3:
Material: Ta4TlCdN2
Method: DFT, PBE
State: optimized geometry

Geometry as extended XYZ:
```
8
Lattice="3.1535 0.0000 0.0000 -1.5768 2.7310 0.0000 0.0000 0.0000 14.4953" Properties=species:S:1:pos:R:3 pbc="T T T"
Cd 0.0000 0.0000 7.2477
N 1.5768 0.9103 3.6508
N 1.5768 0.9103 10.8445
Ta 0.0000 0.0000 2.4568
Ta 0.0000 1.8207 4.8069
Ta 0.0000 1.8207 9.6884
Ta 0.0000 0.0000 12.0385
Tl 0.0000 1.8207 0.0000
```

Values from the calculation:
M_tot = 0.0000 μB/atom
E_tot = -69.9 eV/cell

=====

Entry 4:
Material: FeSiTcAu
Method: DFT, PBE
State: optimized geometry

Geometry as extended XYZ:
```
4
Lattice="-0.5414 -4.2733 0.2247 -1.9849 -1.7461 3.4082 -3.9398 -1.7006 -0.4363" Properties=species:S:1:pos:R:3 pbc="T T T"
Au -3.2331 -3.8600 1.5983
Fe -4.8496 -5.7900 2.3974
Si 0.0000 0.0000 0.0000
Tc -1.6165 -1.9300 0.7991
```

Values from the calculation:
M_tot = 0.6050 μB/atom
E_tot = -26.7 eV/cell

=====

Entry 5:
Material: NaTmCdSe3
Method: DFT, PBE
State: optimized geometry

Geometry as extended XYZ:
```
24
Lattice="8.0086 0.0000 0.0000 0.0000 4.2230 0.0000 0.0000 0.0000 17.3149" Properties=species:S:1:pos:R:3 pbc="T T T"
Cd 7.4075 3.1673 2.8160
Cd 3.4032 3.1673 5.8414
Cd 4.6054 1.0557 11.4735
Cd 0.6011 1.0557 14.4988
Na 4.4732 1.0557 3.3862
Na 0.4689 1.0557 5.2713
Na 7.5397 3.1673 12.0436
Na 3.5354 3.1673 13.9287
Se 5.0009 3.1673 1.0818
Se 0.0865 1.0557 1.2877
Se 2.1699 3.1673 3.5498
Se 6.1742 3.1673 5.1076
Se 4.0907 1.0557 7.3697
Se 0.9966 3.1673 7.5756
Se 7.0120 1.0557 9.7393
Se 3.9178 3.1673 9.9452
Se 1.8344 1.0557 12.2072
Se 5.8387 1.0557 13.7651
Se 7.9221 3.1673 16.0271
Se 3.0077 1.0557 16.2330
Tm 2.1482 3.1673 0.6434
Tm 6.1525 3.1673 8.0140
Tm 1.8561 1.0557 9.3009
Tm 5.8604 1.0557 16.6714
```

Values from the calculation:
M_tot = 0.0000 μB/atom
E_tot = -96.7 eV/cell

=====

Entry 6:
Material: NaHfTlSe3
Method: DFT, PBE
State: optimized geometry

Geometry as extended XYZ:
```
24
Lattice="-12.2154 -5.1217 5.6195 2.0846 -2.3760 2.3660 0.2552 8.3990 8.2098" Properties=species:S:1:pos:R:3 pbc="T T T"
Hf -4.6422 -3.1349 5.8836
Hf 1.5162 1.0952 4.7055
Hf -11.3917 -0.1938 11.4898
Hf -5.2333 4.0363 10.3117
Na -0.0801 -0.1364 1.5808
Na -6.1038 0.0646 7.0901
Na -3.7717 0.8368 9.1052
Na -9.7954 1.0377 14.6145
Se -4.3828 -2.1374 3.3625
Se -9.6359 -5.1621 8.2478
Se -7.1508 -2.1123 5.8265
Se -1.0200 1.2074 3.7585
Se -3.4816 -1.0669 6.9378
Se -10.3945 -1.5375 9.2617
Se 0.5190 2.4388 6.9336
Se -6.3939 1.9682 9.2575
Se -8.8555 -0.3061 12.4368
Se -2.7247 3.0136 10.3688
Se -0.2396 6.0635 7.9475
Se -5.4927 3.0387 12.8328
Tl -8.9110 -4.3537 5.1264
Tl -2.6877 2.0116 6.0355
Tl -7.1878 -1.1103 10.1598
Tl -0.9645 5.2550 11.0689
```

Values from the calculation:
M_tot = 0.0003 μB/atom
E_tot = -120.1 eV/cell

=====

Entry 7:
Material: DySiTc4Ge
Method: DFT, PBE
State: optimized geometry

Geometry as extended XYZ:
```
7
Lattice="-2.3557 -3.1663 1.0286 4.5527 -1.5984 5.5064 1.7508 0.9845 7.0405" Properties=species:S:1:pos:R:3 pbc="T T T"
Dy 6.2827 -0.6119 12.5056
Ge 2.5023 -1.9416 7.8396
Si 1.4025 -1.8345 5.6504
Tc 0.0311 -1.7009 2.9206
Tc 1.9338 -0.1883 3.8491
Tc 4.4023 -0.4288 8.7626
Tc 3.9477 -2.0824 10.7167
```

Values from the calculation:
M_tot = 0.0018 μB/atom
E_tot = -59.3 eV/cell

=====

Entry 8:
Material: Tm2NbInO6
Method: DFT, PBE
State: optimized geometry

Geometry as extended XYZ:
```
20
Lattice="-1.8915 -3.2071 3.9890 3.6689 -4.1624 -1.6068 7.3124 6.0567 1.0069" Properties=species:S:1:pos:R:3 pbc="T T T"
In 0.8887 -3.6847 1.1911
In 2.7104 1.4248 2.4979
Nb 0.0000 0.0000 0.0000
Nb 5.4906 0.9471 -0.3000
O -0.2516 -2.7267 2.7200
O 1.4034 -5.2767 2.5670
O 1.2963 -0.0827 1.7205
O 2.8165 -2.7599 1.7436
O 3.5820 1.4440 0.5149
O 5.1825 -1.0441 0.3858
O 3.9073 -0.2687 3.0032
O 5.5078 -2.7568 2.8742
O 6.2732 1.4471 1.6454
O 7.7935 -1.2301 1.6686
O 7.6863 3.9639 0.8220
O 9.3414 1.4139 0.6691
Tm 3.7477 -4.8354 1.8232
Tm 2.9879 -0.9830 0.4921
Tm 6.1018 -0.3298 2.8969
Tm 5.3420 3.5226 1.5658
```

Values from the calculation:
M_tot = 0.1984 μB/atom
E_tot = -154.9 eV/cell